Here is a geometry-optimized NaAcCd2 structure from Alexandria. Energies are from PBE.

Output
Fermi-level density of states: 2.4 states/eV/cell
DFT formation energy: -27 meV/atom

Unit cell a=3.8036 b=3.8036 c=10.6259 alpha=79.69 beta=79.69 gamma=60.00
Last column: nearest neighbours and their distance in Å.
Positions (direct):
Na (0.0000, 0.0000, 0.0000)  6 Cd 3.30
Ac (0.5000, 0.5000, 0.5000)  6 Cd 3.51, 6 Ac 3.80
Cd (0.7455, 0.7455, 0.7634)  3 Na 3.30, 3 Ac 3.51
Cd (0.2545, 0.2545, 0.2366)  3 Na 3.30, 3 Ac 3.51